(1)
Compound: TlCdCu2
Source: Alexandria
Functional: meta-GGA SCAN
Structure: single point on PBEsol structure

```
TlCdCu2
1.0
3.980 0.000 0.000
0.000 3.980 0.000
-1.990 -1.990 4.204
Cu Cd Tl
2 1 1
Direct
0.750 0.250 0.500
0.000 0.000 0.000
0.250 0.750 0.500
0.500 0.500 0.000
```

Calculated total energy in eV per cell: -131.98
Magnetic moment in μB per formula unit: 0.00
ρ in g/cm³: 11.068

***

(2)
Compound: TlCdCu2
Source: Alexandria
Functional: meta-GGA SCAN
Structure: single point on PBEsol structure

```
TlCdCu2
1.0
-2.380 2.018 -1.039
-2.225 -1.776 1.646
0.840 3.540 4.955
Cu Cd Tl
2 1 1
Direct
0.000 0.000 0.728
0.000 0.000 0.272
0.500 0.500 0.500
0.500 0.500 0.000
```

Calculated total energy in eV per cell: -132.22
Magnetic moment in μB per formula unit: 0.00
ρ in g/cm³: 11.090

***

(3)
Compound: Cd2CuW
Source: Alexandria
Functional: meta-GGA SCAN
Structure: single point on PBEsol structure

```
Cd2CuW
1.0
2.767 0.000 0.000
0.000 2.767 0.000
0.000 0.000 8.575
W Cd Cu
1 2 1
Direct
0.500 0.500 0.724
0.000 0.000 0.987
0.500 0.500 0.279
0.000 0.000 0.511
```

Calculated total energy in eV per cell: -144.35
Magnetic moment in μB per formula unit: 0.00
ρ in g/cm³: 11.945
Polymorph energy (0 for the lowest one) in meV per atom: 0.0

***

(4)
Compound: Cd2CuW
Source: Alexandria
Functional: meta-GGA SCAN
Structure: single point on PBEsol structure

```
Cd2CuW
1.0
2.683 0.000 0.000
0.000 5.179 -0.006
0.000 -2.016 4.770
W Cu Cd
1 1 2
Direct
0.500 0.500 0.500
0.500 0.000 0.000
0.000 0.500 0.000
0.000 0.000 0.500
```

Calculated total energy in eV per cell: -143.56
Magnetic moment in μB per formula unit: 0.00
ρ in g/cm³: 11.837
Polymorph energy (0 for the lowest one) in meV per atom: 196.4

***

(5)
Compound: CdCuW2
Source: Alexandria
Functional: meta-GGA SCAN
Structure: single point on PBEsol structure

```
CdCuW2
1.0
2.761 0.000 0.000
1.380 2.391 0.000
1.380 0.797 9.426
Cd W Cu
1 2 1
Direct
0.500 0.500 0.500
0.744 0.744 0.769
0.256 0.256 0.231
0.000 0.000 0.000
```

Calculated total energy in eV per cell: -182.55
Magnetic moment in μB per formula unit: 0.00
ρ in g/cm³: 14.510

***

(6)
Compound: CdCuW2
Source: Alexandria
Functional: meta-GGA SCAN
Structure: single point on PBEsol structure

```
CdCuW2
1.0
3.214 0.000 0.000
0.000 3.214 0.000
0.000 0.000 6.078
W Cu Cd
2 1 1
Direct
0.000 0.000 0.702
0.000 0.000 0.298
0.500 0.500 0.500
0.500 0.500 0.000
```

Calculated total energy in eV per cell: -181.94
Magnetic moment in μB per formula unit: 0.00
ρ in g/cm³: 14.383

***

(7)
Compound: CdCuW2
Source: Alexandria
Functional: meta-GGA SCAN
Structure: single point on PBEsol structure

```
CdCuW2
1.0
3.285 0.000 0.000
0.000 4.524 0.000
-1.642 -2.262 4.192
Cu Cd W
1 1 2
Direct
0.252 0.752 0.504
0.513 0.513 0.025
0.735 0.235 0.470
0.001 0.001 0.001
```

Calculated total energy in eV per cell: -182.46
Magnetic moment in μB per formula unit: 0.00
ρ in g/cm³: 14.492

***

(8)
Compound: Cd2CuW
Source: Alexandria
Functional: meta-GGA SCAN
Structure: single point on PBEsol structure

```
Cd2CuW
1.0
4.074 0.000 0.000
0.000 4.074 0.000
-2.037 -2.037 3.974
W Cd Cu
1 2 1
Direct
0.250 0.750 0.500
0.750 0.250 0.500
0.000 0.000 0.000
0.500 0.500 0.000
```

Calculated total energy in eV per cell: -142.38
Magnetic moment in μB per formula unit: 1.04
ρ in g/cm³: 11.887
Polymorph energy (0 for the lowest one) in meV per atom: 492.3

***

(9)
Compound: CdCuW2
Source: Alexandria
Functional: meta-GGA SCAN
Structure: single point on PBEsol structure

```
CdCuW2
1.0
-0.589 -2.611 0.401
2.385 0.102 -1.276
4.184 0.261 7.844
Cu Cd W
1 1 2
Direct
0.500 0.500 0.240
0.000 0.000 0.485
0.000 0.000 0.011
0.500 0.500 0.763
```

Calculated total energy in eV per cell: -183.77
Magnetic moment in μB per formula unit: 0.00
ρ in g/cm³: 14.516

***

(10)
Compound: Cd2CuW
Source: Alexandria
Functional: meta-GGA SCAN
Structure: single point on PBEsol structure

```
Cd2CuW
1.0
2.981 0.000 0.000
0.000 4.662 0.000
0.000 0.000 4.735
Cu Cd W
1 2 1
Direct
0.500 0.000 0.500
0.000 0.000 0.000
0.500 0.500 0.000
0.000 0.500 0.500
```

Calculated total energy in eV per cell: -142.99
Magnetic moment in μB per formula unit: 0.00
ρ in g/cm³: 11.912
Polymorph energy (0 for the lowest one) in meV per atom: 340.0

***

(11)
Compound: Y2CdCu
Source: Alexandria
Functional: meta-GGA SCAN
Structure: single point on PBEsol structure

```
Y2CdCu
1.0
-3.041 -0.118 -2.193
3.134 -1.655 -1.049
-3.581 -5.832 5.281
Y Cu Cd
2 1 1
Direct
0.762 0.524 0.783
0.238 0.476 0.217
0.500 0.000 0.000
0.000 0.000 0.500
```

Calculated total energy in eV per cell: -101.85
Magnetic moment in μB per formula unit: 0.00
ρ in g/cm³: 5.887

***

(12)
Compound: YCd2Cu
Source: Alexandria
Functional: meta-GGA SCAN
Structure: single point on PBEsol structure

```
YCd2Cu
1.0
4.799 0.000 0.000
2.400 4.158 0.020
2.400 1.368 3.927
Cu Cd Y
1 2 1
Direct
0.500 0.500 0.500
0.000 0.000 0.000
0.250 0.250 0.250
0.750 0.750 0.750
```

Calculated total energy in eV per cell: -104.95
Magnetic moment in μB per formula unit: 0.00
ρ in g/cm³: 8.009

***

(13)
Compound: Y2CdCu2
Source: Alexandria
Functional: meta-GGA SCAN
Structure: single point on PBEsol structure

```
Y2CdCu2
1.0
-0.760 -3.404 1.001
4.175 -2.584 -5.618
5.983 -0.026 4.458
Y Cu Cd
4 4 2
Direct
0.500 0.175 0.675
0.500 0.675 0.825
0.500 0.325 0.175
0.500 0.825 0.325
0.000 0.619 0.119
0.000 0.381 0.881
0.000 0.119 0.381
0.000 0.881 0.619
0.000 0.000 0.000
0.000 0.500 0.500
```

Calculated total energy in eV per cell: -236.85
Magnetic moment in μB per formula unit: 0.00
ρ in g/cm³: 6.862

***

(14)
Compound: YCd2Cu
Source: Alexandria
Functional: meta-GGA SCAN
Structure: single point on PBEsol structure

```
YCd2Cu
1.0
-1.505 0.961 4.465
-3.204 -0.748 -3.509
-2.643 -4.018 -0.026
Cd Y Cu
2 1 1
Direct
0.250 0.500 0.250
0.750 0.500 0.750
0.000 0.000 0.000
0.500 0.000 0.500
```

Calculated total energy in eV per cell: -104.57
Magnetic moment in μB per formula unit: 0.00
ρ in g/cm³: 7.962

***

(15)
Compound: Y2CdCu
Source: Alexandria
Functional: meta-GGA SCAN
Structure: single point on PBEsol structure

```
Y2CdCu
1.0
-0.889 2.704 2.197
-0.219 -3.209 3.861
4.864 0.821 0.959
Cd Y Cu
1 2 1
Direct
0.500 0.500 0.500
0.000 0.000 0.500
0.000 0.500 0.000
0.500 0.000 0.000
```

Calculated total energy in eV per cell: -102.66
Magnetic moment in μB per formula unit: 0.00
ρ in g/cm³: 6.471

***

(16)
Compound: YCd3Cu
Source: Alexandria
Functional: meta-GGA SCAN
Structure: single point on PBEsol structure

```
YCd3Cu
1.0
-1.106 -2.297 4.106
4.562 0.509 1.514
-1.151 4.222 2.051
Cd Y Cu
3 1 1
Direct
0.000 0.000 0.500
0.000 0.500 0.000
0.500 0.000 0.000
0.500 0.500 0.500
0.000 0.000 0.000
```

Calculated total energy in eV per cell: -134.38
Magnetic moment in μB per formula unit: 0.00
ρ in g/cm³: 7.202

***

(17)
Compound: YCdCu
Source: Alexandria
Functional: meta-GGA SCAN
Structure: single point on PBEsol structure

```
YCdCu
1.0
-3.348 0.756 0.253
-0.093 -1.806 4.166
0.953 4.407 -0.544
Cu Cd Y
1 1 1
Direct
0.000 0.333 0.667
0.000 0.000 0.000
0.500 0.667 0.333
```

Calculated total energy in eV per cell: -74.37
Magnetic moment in μB per formula unit: 0.00
ρ in g/cm³: 7.154

***

(18)
Compound: YCd2Cu
Source: Alexandria
Functional: meta-GGA SCAN
Structure: single point on PBEsol structure

```
YCd2Cu
1.0
-1.106 -3.154 1.152
3.724 -0.137 3.202
-3.989 3.757 1.030
Y Cd Cu
1 2 1
Direct
0.000 0.500 0.000
0.219 0.219 0.438
0.781 0.781 0.562
0.500 0.000 0.000
```

Calculated total energy in eV per cell: -104.54
Magnetic moment in μB per formula unit: 0.00
ρ in g/cm³: 7.701

***

(19)
Compound: ZnCd3Cu
Source: Alexandria
Functional: meta-GGA SCAN
Structure: single point on PBEsol structure

```
ZnCd3Cu
1.0
-3.791 2.498 1.844
0.336 -2.562 4.163
3.087 3.347 1.811
Cd Zn Cu
3 1 1
Direct
0.000 0.000 0.500
0.500 0.000 0.000
0.000 0.500 0.000
0.500 0.500 0.500
0.000 0.000 0.000
```

Calculated total energy in eV per cell: -118.03
Magnetic moment in μB per formula unit: 0.00
ρ in g/cm³: 6.579

***

(20)
Compound: Zr2CdCu
Source: Alexandria
Functional: meta-GGA SCAN
Structure: single point on PBEsol structure

```
Zr2CdCu
1.0
-0.974 2.751 0.756
-2.507 -1.207 1.160
3.692 -0.690 7.265
Zr Cu Cd
2 1 1
Direct
0.000 0.000 0.778
0.000 0.000 0.222
0.500 0.500 0.000
0.500 0.500 0.500
```

Calculated total energy in eV per cell: -107.64
Magnetic moment in μB per formula unit: 0.00
ρ in g/cm³: 8.006

***

(21)
Compound: ZrCdCu
Source: Alexandria
Functional: meta-GGA SCAN
Structure: single point on PBEsol structure

```
ZrCdCu
1.0
-2.370 -1.862 0.509
-0.297 -0.445 -3.009
4.859 -3.250 1.554
Cu Cd Zr
1 1 1
Direct
0.665 0.665 0.330
0.018 0.018 0.035
0.318 0.318 0.635
```

Calculated total energy in eV per cell: -76.69
Magnetic moment in μB per formula unit: 0.65
ρ in g/cm³: 8.407

***

(22)
Compound: ZrCdCu
Source: Alexandria
Functional: meta-GGA SCAN
Structure: single point on PBEsol structure

```
ZrCdCu
1.0
2.870 0.000 0.000
0.000 4.584 0.000
0.000 -2.292 3.970
Zr Cd Cu
1 1 1
Direct
0.500 0.667 0.333
0.000 0.000 0.000
0.000 0.333 0.667
```

Calculated total energy in eV per cell: -76.65
Magnetic moment in μB per formula unit: 0.00
ρ in g/cm³: 8.492

***

(23)
Compound: ZrCdCu
Source: Alexandria
Functional: meta-GGA SCAN
Structure: single point on PBEsol structure

```
ZrCdCu
1.0
-2.175 0.263 1.898
2.671 -0.945 3.192
0.661 4.489 -2.078
Cu Cd Zr
1 1 1
Direct
0.666 0.666 0.332
0.002 0.002 0.004
0.332 0.332 0.663
```

Calculated total energy in eV per cell: -76.26
Magnetic moment in μB per formula unit: 0.00
ρ in g/cm³: 8.394

***

(24)
Compound: ZrCd3Cu
Source: Alexandria
Functional: meta-GGA SCAN
Structure: single point on PBEsol structure

```
ZrCd3Cu
1.0
4.729 0.000 0.000
0.000 4.729 0.000
0.000 0.000 4.729
Zr Cd Cu
1 3 1
Direct
0.500 0.500 0.500
0.500 0.000 0.000
0.000 0.500 0.000
0.000 0.000 0.500
0.000 0.000 0.000
```

Calculated total energy in eV per cell: -135.41
Magnetic moment in μB per formula unit: 0.00
ρ in g/cm³: 7.726

***

(25)
Compound: ZrCd2Cu
Source: Alexandria
Functional: meta-GGA SCAN
Structure: single point on PBEsol structure

```
ZrCd2Cu
1.0
3.071 0.000 0.000
0.000 3.071 0.000
0.000 0.000 7.752
Cd Cu Zr
2 1 1
Direct
0.000 0.000 0.005
0.500 0.500 0.283
0.000 0.000 0.495
0.500 0.500 0.716
```

Calculated total energy in eV per cell: -107.19
Magnetic moment in μB per formula unit: 0.00
ρ in g/cm³: 8.624

***

(26)
Compound: ZrCd2Cu
Source: Alexandria
Functional: meta-GGA SCAN
Structure: single point on PBEsol structure

```
ZrCd2Cu
1.0
-1.495 -1.501 -2.230
2.379 -1.927 -0.297
-3.098 -4.624 5.191
Cd Zr Cu
2 1 1
Direct
0.000 0.000 0.786
0.000 0.000 0.214
0.500 0.500 0.500
0.500 0.500 0.000
```

Calculated total energy in eV per cell: -107.03
Magnetic moment in μB per formula unit: 0.00
ρ in g/cm³: 8.754

***

(27)
Compound: Zr2CdCu
Source: Alexandria
Functional: meta-GGA SCAN
Structure: single point on PBEsol structure

```
Zr2CdCu
1.0
3.138 0.000 0.000
0.000 3.138 0.000
0.000 0.000 7.734
Zr Cu Cd
2 1 1
Direct
0.500 0.500 0.248
0.000 0.000 0.967
0.500 0.500 0.746
0.000 0.000 0.539
```

Calculated total energy in eV per cell: -107.55
Magnetic moment in μB per formula unit: 0.00
ρ in g/cm³: 7.816

***

(28)
Compound: ZrCdCu2
Source: Alexandria
Functional: meta-GGA SCAN
Structure: single point on PBEsol structure

```
ZrCdCu2
1.0
4.493 0.000 0.000
-2.246 3.877 0.069
0.000 2.537 3.708
Cd Cu Zr
1 2 1
Direct
0.750 0.500 0.750
0.250 0.500 0.250
0.000 0.000 0.000
0.500 0.000 0.500
```

Calculated total energy in eV per cell: -91.54
Magnetic moment in μB per formula unit: 0.00
ρ in g/cm³: 8.606

***

(29)
Compound: DyCd2
Source: Alexandria
Functional: meta-GGA SCAN
Structure: single point on PBEsol structure

```
DyCd2
1.0
3.366 0.000 0.000
0.000 4.866 0.000
0.000 -2.433 4.214
Dy Cd
1 2
Direct
0.500 0.000 0.000
0.000 0.667 0.333
0.000 0.333 0.667
```

Calculated total energy in eV per cell: -109.86
Magnetic moment in μB per formula unit: 0.18
ρ in g/cm³: 9.318

***

(30)
Compound: DyCd
Source: Alexandria
Functional: meta-GGA SCAN
Structure: single point on PBEsol structure

```
DyCd
1.0
3.673 0.000 0.000
0.000 3.673 0.000
0.000 0.000 3.673
Dy Cd
1 1
Direct
0.500 0.500 0.500
0.000 0.000 0.000
```

Calculated total energy in eV per cell: -79.07
Magnetic moment in μB per formula unit: 0.00
ρ in g/cm³: 9.212